# 1
Pr8Er3Th2, relaxed, DFT GGA-PBE; mass density = 7.58 Mg/m³; electronic total energy = -63.56 eV per cell; formation energy = 246 meV/atom; total magnetic moment = 0.0 μB per formula unit
1.0
10.4994 -3.7783 0.0000
10.4994 3.7783 0.0000
-0.0033 0.0000 5.7820
Pr Er Th
8 3 2
Direct
0.1012 0.6884 0.0001 Pr
0.1742 0.1742 0.5006 Pr
0.3116 0.8988 0.9999 Pr
0.3665 0.3665 0.5007 Pr
0.6335 0.6335 0.4993 Pr
0.6884 0.1012 0.0001 Pr
0.8258 0.8258 0.4994 Pr
0.8988 0.3116 0.9999 Pr
0.2224 0.7776 0.5000 Er
0.5000 0.5000 0.0000 Er
0.7776 0.2224 0.5000 Er
0.2579 0.2579 0.0011 Th
0.7421 0.7421 0.9989 Th

***

# 2
PrEr2Th2, relaxed, DFT GGA-PBE; mass density = 9.66 Mg/m³; electronic total energy = -28.66 eV per cell; formation energy = 17 meV/atom; total magnetic moment = 0.0 μB per formula unit
1.0
1.7925 1.0349 14.5062
-1.7925 1.0349 14.5062
0.0000 -2.0698 14.5062
Pr Er Th
1 2 2
Direct
0.0000 0.0000 0.0000 Pr
0.4016 0.4016 0.4016 Er
0.5984 0.5984 0.5984 Er
0.1992 0.1992 0.1992 Th
0.8008 0.8008 0.8008 Th